i:
Below is a PBEsol-optimized structure of SiW2Se, with properties calculated at the meta-GGA SCAN level.

extended XYZ file:
```
4
Lattice="2.9984 0.0000 0.0000 0.0000 4.5719 0.0000 0.0000 0.0000 4.3947" Properties=species:S:1:pos:R:3 pbc="T T T"
Si 0.0000 0.0000 0.0000
W 0.0000 2.2859 3.1796
W 1.4992 0.0000 2.2427
Se 1.4992 2.2859 0.9487
```

***

ii:
Below is a PBEsol-optimized structure of SiW2Se, with properties calculated at the meta-GGA SCAN level.

extended XYZ file:
```
4
Lattice="0.0000 3.0734 3.0734 3.0734 0.0000 3.0734 3.0734 3.0734 0.0000" Properties=species:S:1:pos:R:3 pbc="T T T"
Si 0.0000 0.0000 0.0000
W 1.5367 1.5367 1.5367
W 4.6101 4.6101 4.6101
Se 3.0734 3.0734 3.0734
```

***

The energy of each structure relative to the most stable one, in eV/atom, is as follows: i 0.000; ii 0.169.

***

i:
Below is a PBEsol-optimized structure of Zr2SiSe, with properties calculated at the meta-GGA SCAN level.

extended XYZ file:
```
4
Lattice="4.5708 0.0000 0.0000 0.0000 1.6472 4.9043 0.0000 -1.6472 4.9043" Properties=species:S:1:pos:R:3 pbc="T T T"
Zr 0.0000 0.0000 0.0000
Zr 2.2854 0.0000 2.5591
Si 0.0000 0.0000 7.1319
Se 2.2854 0.0000 5.2591
```

***

ii:
Below is a PBEsol-optimized structure of Zr2SiSe, with properties calculated at the meta-GGA SCAN level.

extended XYZ file:
```
4
Lattice="0.0000 3.3127 3.3127 3.3127 0.0000 3.3127 3.3127 3.3127 0.0000" Properties=species:S:1:pos:R:3 pbc="T T T"
Zr 1.6563 1.6563 1.6563
Zr 4.9690 4.9690 4.9690
Si 0.0000 0.0000 0.0000
Se 3.3127 3.3127 3.3127
```

***

The energy of each structure relative to the most stable one, in eV/atom, is as follows: i 0.000; ii 0.184.

***

i:
Below is a PBEsol-optimized structure of SrTaSe, with properties calculated at the meta-GGA SCAN level.

extended XYZ file:
```
3
Lattice="-1.7130 1.7130 5.9175 1.7130 -1.7130 5.9175 1.7130 1.7130 -5.9175" Properties=species:S:1:pos:R:3 pbc="T T T"
Sr 0.0000 0.0000 0.0000
Ta 0.0000 0.0000 3.5280
Se 0.0000 0.0000 8.4058
```

***

ii:
Below is a PBEsol-optimized structure of SrTaSe, with properties calculated at the meta-GGA SCAN level.

extended XYZ file:
```
3
Lattice="0.0000 3.4593 3.4593 3.4593 0.0000 3.4593 3.4593 3.4593 0.0000" Properties=species:S:1:pos:R:3 pbc="T T T"
Sr 0.0000 0.0000 0.0000
Ta 1.7296 1.7296 1.7296
Se 3.4593 3.4593 3.4593
```

***

The energy of each structure relative to the most stable one, in eV/atom, is as follows: i 0.000; ii 1.005.